Compound: PmVF2
Source: Alexandria
Functional: PBE+U
Structure: relaxed

It has space group R-3m (No. 166, hexagonal axes), with a = 3.5957 Å, b = 3.5957 Å, c = 19.3469 Å, α = 90.00°, β = 90.00° and γ = 120.00°. Symmetry generates all atoms from Pm at (0.0000, 0.0000, 0.0000), V at (0.0000, 0.0000, 0.5000) and F at (0.0000, 0.0000, 0.1275).

As for the energy: -5.756 eV/atom. For the spin magnetization, the calculation gives 1.6 μB per formula unit.